This record from Alexandria via LeMat-Bulk describes a relaxed structure of MnPRhO2. The functional is PBE+U.

Output
ΔE to the lowest computed polymorph = 0.000 eV per atom
raw total energy = -6.187 eV per atom
Fermi-level density of states = 0.86 states/eV per atom
total magnetic moment = 1.236 μB per atom

Structure (POSCAR):
```
MnPRhO2
1.0
-3.2360 1.3869 1.4732
0.8324 -1.6202 3.3537
2.4892 4.2720 1.4459
O Rh P Mn
2 1 1 1
Cartesian
0.4162 -0.8101 1.6769 O
-1.6180 0.6934 0.7366 O
0.0000 0.0000 0.0000 Rh
1.2446 2.1360 0.7230 P
0.0428 2.0194 3.1364 Mn
```